## NaCaMoF6 (GGA+U)

Data for NaCaMoF6 after structural relaxation.

raw total energy	-5.47	eV/atom
Fermi-level density of states	0.000	states/eV/cell
theoretical density	3.2	g cm⁻³

a = 5.8720 Å, b = 5.8720 Å, c = 9.3559 Å
α = 90.00°, β = 90.00°, γ = 120.00°
Fractional positions:
Mo  0.6667  0.3333  0.2500
Mo  0.3333  0.6667  0.7500
Na  0.0000  0.0000  0.5000
Na  0.0000  0.0000  0.0000
F  0.3616  0.3390  0.3661
F  0.3390  0.3616  0.8661
F  0.0226  0.6610  0.8661
F  0.9774  0.3390  0.1339
F  0.0226  0.3616  0.6339
F  0.3390  0.9774  0.6339
F  0.3616  0.0226  0.1339
F  0.9774  0.6384  0.3661
F  0.6610  0.6384  0.1339
F  0.6384  0.6610  0.6339
F  0.6384  0.9774  0.8661
F  0.6610  0.0226  0.3661
Ca  0.3333  0.6667  0.2500
Ca  0.6667  0.3333  0.7500